The following is a PBE calculation of a relaxed NaTcN2F crystal, from Alexandria.

Results
**D(E_F)**: 3.4 states/eV per cell
**Crystal system**: tetragonal
**Magnetization**: 0.00 μB per atom
**Formation energy without anion corrections**: -460 meV per atom
**SG**: P4/mmm (123)

a b c (Å): 3.8441 3.8441 4.3173
angles (deg): 90.00 90.00 90.00
Closest atoms and distances in Å follow each position.
Sites, in units of the cell vectors:
Tc (0.0000, 0.0000, 0.0000)  4 N 1.92
N (0.5000, 0.0000, 0.0000)  2 Tc 1.92
N (0.0000, 0.5000, 0.0000)  2 Tc 1.92
Na (0.5000, 0.5000, 0.5000)  4 F 2.72, 8 N 2.89
F (0.0000, 0.0000, 0.5000)  2 Tc 2.16